# 1
The following is a GGA-PBE calculation of Cs3HgF5 after structural relaxation, from Alexandria.

total magnetic moment	0.07	μB/f.u.
mass density	5.0	g/cm3
polymorph energy (0 for the lowest one)	0	meV per atom
crystal system	tetragonal
density of states at the Fermi level	0.00	states/eV/cell
E_form (uncorrected)	-2.26	eV/atom
total DFT energy (no corrections)	-3.621	eV/atom

Unit cell a=8.0775 b=8.0775 c=14.0140 alpha=90.00 beta=90.00 gamma=90.00
Closest atoms and distances in Å follow each position.
Space group I4/mcm (No. 140)
Asymmetric unit:
Cs (0.0000, 0.0000, 0.2500) (multiplicity 4)  10 F 3.39-3.50
Cs (0.1751, 0.3249, 0.0000) (multiplicity 8)  4 F 2.90-2.98
Hg (0.0000, 0.5000, 0.2500) (multiplicity 4)  4 F 2.21
F (0.0000, 0.0000, 0.0000) (multiplicity 4)  4 Cs 2.98
F (0.1486, 0.3514, 0.3508) (multiplicity 16)  1 Hg 2.21

***

# 2
The following is a GGA-PBE calculation of MgCu2Au after structural relaxation, from Alexandria.

energy of formation from the pure elements	-0.092	eV/atom
total magnetic moment	0.00	μB/f.u.
mass density	9.4	g/cm3
crystal system	monoclinic
density of states at the Fermi level	1.48	states/eV/cell
total DFT energy (no corrections)	-3.358	eV/atom

Unit cell a=2.7679 b=4.5576 c=4.8668 alpha=90.00 beta=94.19 gamma=90.00
Closest atoms and distances in Å follow each position.
Space group P2/m (No. 10)
Asymmetric unit:
Mg (0.0000, 0.0000, 0.0000) (multiplicity 1)  4 Au 2.71-2.89, 4 Cu 2.72, 2 Mg 2.77
Cu (0.2927, 0.5000, 0.7552) (multiplicity 2)  5 Cu 2.57-2.86, 2 Au 2.68, 2 Mg 2.72
Au (0.5000, 0.0000, 0.5000) (multiplicity 1)  4 Cu 2.68, 4 Mg 2.71-2.89, 2 Au 2.77